First-principles (PBE) data for a geometry-optimized LuAgIr2 structure, as listed in the Open Quantum Materials Database.

Output
The energy of formation from the pure elements comes out at -0.087 eV per atom. The magnetization is 4.85 Bohr magnetons per cell.

a = 6.540 Å, b = 6.540 Å, c = 6.540 Å
α = 90.00°, β = 90.00°, γ = 90.00°
Space group F-43m (No. 216)
Unique sites:
Lu: 0.000 0.000 0.000 x4
Ag: 0.250 0.250 0.750 x4
Ir: 0.000 0.000 0.500 x4
Ir: 0.250 0.250 0.250 x4


First-principles (PBE) data for a geometry-optimized La2TbCd3Ir2Pt structure, as listed in the Open Quantum Materials Database.

Output
The energy of formation from the pure elements comes out at -0.662 eV per atom. The magnetization is 0.01 Bohr magnetons per cell.

a = 4.076 Å, b = 13.242 Å, c = 7.575 Å
α = 90.00°, β = 90.00°, γ = 90.00°
Space group Amm2 (No. 38)
Unique sites:
La: 0.000 0.206 0.000 x4
Tb: 0.000 0.000 0.617 x2
Cd: 0.500 0.000 0.954 x2
Cd: 0.500 0.124 0.336 x4
Ir: 0.500 0.164 0.709 x4
Pt: 0.000 0.000 0.214 x2


First-principles (PBE) data for a geometry-optimized PmSmNi4 structure, as listed in the Open Quantum Materials Database.

Output
The energy of formation from the pure elements comes out at -0.358 eV per atom. The magnetization is 0.00 Bohr magnetons per cell.

a = 7.267 Å, b = 7.267 Å, c = 7.267 Å
α = 90.00°, β = 90.00°, γ = 90.00°
Space group F-43m (No. 216)
Unique sites:
Pm: 0.000 0.000 0.000 x4
Sm: 0.250 0.250 0.250 x4
Ni: 0.125 0.125 0.625 x16


First-principles (PBE) data for a geometry-optimized BeCoMoAs structure, as listed in the Open Quantum Materials Database.

Output
The value obtained for the offset from the most stable computed form is 336.3 meV per atom. The magnetization is 7.91 Bohr magnetons per cell.

a = 5.872 Å, b = 5.872 Å, c = 5.872 Å
α = 90.00°, β = 90.00°, γ = 90.00°
Space group F-43m (No. 216)
Unique sites:
Be: 0.000 0.000 0.000 x4
Co: 0.000 0.000 0.500 x4
Mo: 0.250 0.250 0.250 x4
As: 0.250 0.250 0.750 x4


First-principles (PBE) data for a geometry-optimized BaPrAgTe2Se structure, as listed in the Open Quantum Materials Database.

Output
The magnetization is 0.01 Bohr magnetons per cell.

a = 4.535 Å, b = 15.081 Å, c = 11.263 Å
α = 90.00°, β = 90.00°, γ = 90.00°
Space group Cmcm (No. 63)
Unique sites:
Ba: 0.000 0.235 0.250 x4
Pr: 0.000 0.500 0.000 x4
Ag: 0.000 0.028 0.750 x4
Te: 0.000 0.145 0.557 x8
Se: 0.000 0.425 0.750 x4


First-principles (PBE) data for a geometry-optimized ScTaNi2Sn2 structure, as listed in the Open Quantum Materials Database.

Output
The magnetization is 0.00 Bohr magnetons per cell.

a = 4.270 Å, b = 8.574 Å, c = 6.055 Å
α = 90.00°, β = 90.00°, γ = 90.00°
Space group Pmn2_1 (No. 31)
Unique sites:
Sc: 0.000 0.122 0.000 x2
Ta: 0.000 0.626 0.011 x2
Ni: 0.000 0.385 0.267 x2
Ni: 0.000 0.864 0.245 x2
Sn: 0.000 0.125 0.498 x2
Sn: 0.000 0.626 0.515 x2


First-principles (PBE) data for a geometry-optimized CdInCuHg structure, as listed in the Open Quantum Materials Database.

Output
The value obtained for the offset from the most stable computed form is 7.6 meV per atom.

a = 6.934 Å, b = 6.934 Å, c = 6.934 Å
α = 90.00°, β = 90.00°, γ = 90.00°
Space group F-43m (No. 216)
Unique sites:
Cd: 0.000 0.000 0.000 x4
In: 0.250 0.250 0.250 x4
Cu: 0.000 0.000 0.500 x4
Hg: 0.250 0.250 0.750 x4


First-principles (PBE) data for a geometry-optimized BaHgGe structure, as listed in the Open Quantum Materials Database.

a = 4.226 Å, b = 5.131 Å, c = 9.181 Å
α = 73.79°, β = 76.73°, γ = 90.00°
Space group P-1 (No. 2)
Unique sites:
Ba: 0.138 0.380 0.225 x2
Hg: 0.455 0.209 0.584 x2
Ge: 0.291 0.081 0.917 x2


First-principles (PBE) data for a geometry-optimized PrGd2Mg3Ag3 structure, as listed in the Open Quantum Materials Database.

Output
The magnetization is 0.06 Bohr magnetons per cell.

a = 4.264 Å, b = 13.345 Å, c = 7.715 Å
α = 90.00°, β = 90.00°, γ = 90.00°
Space group Amm2 (No. 38)
Unique sites:
Pr: 0.000 0.000 0.000 x2
Gd: 0.000 0.208 0.623 x4
Mg: 0.500 0.000 0.654 x2
Mg: 0.500 0.123 0.298 x4
Ag: 0.000 0.000 0.420 x2
Ag: 0.500 0.171 0.913 x4


First-principles (PBE) data for a geometry-optimized LiYZrNi structure, as listed in the Open Quantum Materials Database.

Output
The value obtained for the offset from the most stable computed form is 0.0 meV per atom. The magnetization is 0.01 Bohr magnetons per cell.

a = 6.726 Å, b = 6.726 Å, c = 6.726 Å
α = 90.00°, β = 90.00°, γ = 90.00°
Space group F-43m (No. 216)
Unique sites:
Li: 0.000 0.000 0.000 x4
Y: 0.250 0.250 0.250 x4
Zr: 0.250 0.250 0.750 x4
Ni: 0.000 0.000 0.500 x4


First-principles (PBE) data for a geometry-optimized Zr2BeGe structure, as listed in the Open Quantum Materials Database.

Output
The magnetization is 0.00 Bohr magnetons per cell.

a = 6.562 Å, b = 6.562 Å, c = 6.562 Å
α = 90.00°, β = 90.00°, γ = 90.00°
Space group F-43m (No. 216)
Unique sites:
Zr: 0.000 0.000 0.000 x4
Zr: 0.250 0.250 0.250 x4
Be: 0.250 0.250 0.750 x4
Ge: 0.000 0.000 0.500 x4


First-principles (PBE) data for a geometry-optimized Er2Al2PdAu3 structure, as listed in the Open Quantum Materials Database.

Output
The magnetization is 0.00 Bohr magnetons per cell.

a = 4.4775 Å, b = 4.4775 Å, c = 9.0871 Å
α = 90.00°, β = 90.00°, γ = 120.00°
Space group P3m1 (No. 156)
Unique sites:
Er: 0.0000 0.0000 0.0000 x1
Er: 0.3333 0.6667 0.4927 x1
Al: 0.6667 0.3333 0.2596 x1
Al: 0.6667 0.3333 0.7456 x1
Pd: 0.0000 0.0000 0.3264 x1
Au: 0.0000 0.0000 0.6574 x1
Au: 0.3333 0.6667 0.1664 x1
Au: 0.3333 0.6667 0.8351 x1


E values (in eV per atom) by entry order: -6.35, -5.21, -5.65, -6.15, -4.60, -6.73, -1.72, -2.80, -3.30, -5.64, -6.04, -4.77.